Entry from Alexandria: an optimized crystal structure of Pr4Pd2Cl3 (PBE).

Properties
The density of states at the Fermi level comes out at 6.1 states/eV/f.u. The calculation puts the energy relative to the elements, uncorrected at -1.3030 eV per atom.

abc: 7.2059 4.1602 17.8893
angles: 90.00 90.06 90.00
Last column: nearest neighbours and their distance in Å.
Space group C2/m (No. 12)
Unique sites:
Pr  0.0009  0.0000  0.3081 x4  3 Cl 2.95, 3 Pd 2.98
Pr  0.1663  0.5000  0.8817 x4  3 Pd 2.90, 3 Cl 3.20
Pd  0.1673  0.5000  0.2092 x4  6 Pr 2.90-2.98
Cl  0.0000  0.0000  0.0000 x2  6 Pr 3.20
Cl  0.1655  0.5000  0.5957 x4  3 Pr 2.95